1.
Here is a relaxed structure of ScBeTc2 from Alexandria via LeMat-Bulk. Energies are from GGA-PBE.

```
ScBeTc2
1.0
4.911 -0.039 0.000
-2.120 4.430 0.000
0.000 0.000 2.731
Sc Be Tc
1 1 2
Direct
0.000 0.500 0.500
0.500 0.000 0.500
0.000 0.000 0.000
0.500 0.500 0.000
```

Total DFT energy (no corrections), eV per atom: -7.466
Energy relative to the elements, meV/atom: 231
Crystal system: orthorhombic

***

2.
Here is a relaxed structure of Sc2BeTc from Alexandria via LeMat-Bulk. Energies are from GGA-PBE.

```
Sc2BeTc
1.0
-3.016 -7.515 1.606
-1.472 -8.044 -1.135
0.122 -8.093 1.629
Sc Be Tc
2 1 1
Direct
0.998 0.998 0.998
0.502 0.502 0.502
0.750 0.750 0.750
0.250 0.250 0.250
```

Total DFT energy (no corrections), eV per atom: -6.506
Energy relative to the elements, meV/atom: 183
Crystal system: trigonal

***

3.
Here is a relaxed structure of ScBeVTc from Alexandria via LeMat-Bulk. Energies are from GGA-PBE.

```
ScBeVTc
1.0
-1.713 3.719 1.450
-4.310 0.421 0.337
-1.868 0.149 3.919
Sc Be Tc V
1 1 1 1
Direct
0.000 0.000 0.000
0.750 0.750 0.750
0.250 0.250 0.250
0.500 0.500 0.500
```

Total DFT energy (no corrections), eV per atom: -7.467
Energy relative to the elements, meV/atom: -82
Crystal system: cubic

***

4.
Here is a relaxed structure of ScBeV2Tc from Alexandria via LeMat-Bulk. Energies are from GGA-PBE.

```
ScBeV2Tc
1.0
4.218 0.000 0.000
0.000 4.281 0.000
0.000 0.000 4.218
Sc Be Tc V
1 1 1 2
Direct
0.500 0.500 0.500
0.000 0.000 0.000
0.000 0.500 0.000
0.000 0.000 0.500
0.500 0.000 0.000
```

Total DFT energy (no corrections), eV per atom: -7.255
Energy relative to the elements, meV/atom: 477
Crystal system: tetragonal

***

5.
Here is a relaxed structure of ScBeTcW2 from Alexandria via LeMat-Bulk. Energies are from GGA-PBE.

```
ScBeTcW2
1.0
-1.514 -4.085 1.608
3.628 -0.317 2.608
-2.265 2.184 3.416
Sc Be Tc W
1 1 1 2
Direct
0.000 0.000 0.000
0.500 0.500 0.500
0.000 0.500 0.000
0.000 0.000 0.500
0.500 0.000 0.000
```

Total DFT energy (no corrections), eV per atom: -6.767
Energy relative to the elements, meV/atom: 2499
Crystal system: tetragonal

***

6.
Here is a relaxed structure of ZrSc2BeTc from Alexandria via LeMat-Bulk. Energies are from GGA-PBE.

```
ZrSc2BeTc
1.0
4.717 0.000 0.000
0.000 4.327 0.000
0.000 0.000 4.717
Sc Be Tc Zr
2 1 1 1
Direct
0.000 0.000 0.500
0.500 0.000 0.000
0.000 0.000 0.000
0.000 0.500 0.000
0.500 0.500 0.500
```

Total DFT energy (no corrections), eV per atom: -6.728
Energy relative to the elements, meV/atom: 333
Crystal system: tetragonal

***

7.
Here is a relaxed structure of ScBeTe from Alexandria via LeMat-Bulk. Energies are from GGA-PBE.

```
ScBeTe
1.0
4.254 0.000 0.000
-2.127 3.684 0.000
0.000 0.000 3.662
Sc Be Te
1 1 1
Direct
0.333 0.667 0.333
0.000 0.000 0.834
0.667 0.333 0.833
```

Formation energy from raw total energies, meV per atom: -120.5
Excess energy over the best structure of this formula in the dataset, eV/atom: 0.000
Total DFT energy (no corrections), eV per atom: -4.520
Crystal system: trigonal

***

8.
Here is a relaxed structure of ScBeTe3 from Alexandria via LeMat-Bulk. Energies are from GGA-PBE.

```
ScBeTe3
1.0
-3.759 -2.228 3.376
1.816 -5.048 -1.310
3.615 0.219 4.169
Sc Be Te
1 1 3
Direct
0.000 0.000 0.000
0.500 0.500 0.500
0.000 0.500 0.000
0.000 0.000 0.500
0.500 0.000 0.000
```

Formation energy from raw total energies, meV per atom: 387.0
Excess energy over the best structure of this formula in the dataset, eV/atom: 0.353
Total DFT energy (no corrections), eV per atom: -3.510
Crystal system: cubic

***

9.
Here is a relaxed structure of Sc6BeTe2 from Alexandria via LeMat-Bulk. Energies are from GGA-PBE.

```
Sc6BeTe2
1.0
-0.149 3.759 0.587
-3.316 -1.203 6.868
7.691 0.392 -0.558
Sc Be Te
6 1 2
Direct
0.500 0.607 0.000
0.500 0.393 0.393
0.500 0.000 0.607
0.000 0.236 0.000
0.000 0.764 0.764
0.000 0.000 0.236
0.500 0.000 0.000
0.000 0.333 0.667
0.000 0.667 0.333
```

Formation energy from raw total energies, meV per atom: -572.3
Total DFT energy (no corrections), eV per atom: -5.905
Crystal system: hexagonal

***

10.
Here is a relaxed structure of ScBeTe2 from Alexandria via LeMat-Bulk. Energies are from GGA-PBE.

```
ScBeTe2
1.0
-0.398 -3.919 0.209
3.159 1.894 1.410
-3.523 0.727 6.915
Sc Be Te
1 1 2
Direct
0.500 0.500 0.750
0.500 0.500 0.250
0.000 0.000 0.027
0.000 0.000 0.473
```

Formation energy from raw total energies, meV per atom: -95.4
Total DFT energy (no corrections), eV per atom: -4.181
Crystal system: orthorhombic

***

11.
Here is a relaxed structure of ScBe3Te from Alexandria via LeMat-Bulk. Energies are from GGA-PBE.

```
ScBe3Te
1.0
-3.963 2.303 -0.730
-2.142 -3.998 -0.985
-1.118 -0.504 4.476
Sc Be Te
1 3 1
Direct
0.500 0.500 0.500
0.000 0.500 0.000
0.000 0.000 0.500
0.500 0.000 0.000
0.000 0.000 0.000
```

Formation energy from raw total energies, meV per atom: 1127.4
Excess energy over the best structure of this formula in the dataset, eV/atom: 0.000
Total DFT energy (no corrections), eV per atom: -3.003
Crystal system: cubic

***

12.
Here is a relaxed structure of ScBeTe from Alexandria via LeMat-Bulk. Energies are from GGA-PBE.

```
ScBeTe
1.0
5.481 -0.003 0.003
4.193 3.263 -0.017
1.288 -0.026 3.266
Sc Be Te
1 1 1
Direct
0.661 0.661 0.339
0.983 0.983 0.017
0.355 0.355 0.645
```

Formation energy from raw total energies, meV per atom: -97.4
Excess energy over the best structure of this formula in the dataset, eV/atom: 0.023
Total DFT energy (no corrections), eV per atom: -4.497
Crystal system: orthorhombic

***

13.
Here is a relaxed structure of ScBeTe2 from Alexandria via LeMat-Bulk. Energies are from GGA-PBE.

```
ScBeTe2
1.0
3.913 0.000 0.000
0.000 3.861 0.029
0.000 1.804 7.300
Sc Be Te
1 1 2
Direct
0.500 0.718 0.691
0.000 0.283 0.554
0.000 0.129 0.878
0.500 0.370 0.377
```

Formation energy from raw total energies, meV per atom: -668.5
Total DFT energy (no corrections), eV per atom: -4.754
Crystal system: monoclinic

***

14.
Here is a relaxed structure of ScBeTe2 from Alexandria via LeMat-Bulk. Energies are from GGA-PBE.

```
ScBeTe2
1.0
-3.932 -6.595 -1.394
2.837 2.567 -3.038
1.943 -3.001 -0.746
Sc Be Te
1 1 2
Direct
0.500 0.500 0.000
0.000 0.500 0.500
0.000 0.000 0.000
0.500 0.000 0.500
```

Formation energy from raw total energies, meV per atom: -121.3
Total DFT energy (no corrections), eV per atom: -4.207
Crystal system: monoclinic

***

15.
Here is a relaxed structure of ScBeTe2 from Alexandria via LeMat-Bulk. Energies are from GGA-PBE.

```
ScBeTe2
1.0
5.107 0.000 0.000
2.553 4.423 0.000
2.553 1.474 4.170
Sc Be Te
1 1 2
Direct
0.750 0.750 0.750
0.500 0.500 0.500
0.000 0.000 0.000
0.250 0.250 0.250
```

Formation energy from raw total energies, meV per atom: 301.8
Total DFT energy (no corrections), eV per atom: -3.783
Crystal system: cubic